BaAg3Mo | GGA-PBEsol | relaxed

Structure (CIF):
```
data_BaAg3Mo
_cell_length_a 5.111
_cell_length_b 5.111
_cell_length_c 5.111
_cell_angle_alpha 90.00
_cell_angle_beta 90.00
_cell_angle_gamma 90.00
_space_group_name_H-M_alt 'P m -3 m'
_space_group_IT_number 221
_space_group_name_Hall '-P 4 2 3'
loop_
_atom_site_label
_atom_site_type_symbol
_atom_site_fract_x
_atom_site_fract_y
_atom_site_fract_z
Ba1 Ba 0.000 0.000 0.000
Ag1 Ag 0.000 0.500 0.500
Mo1 Mo 0.500 0.500 0.500
```

Properties
V ... 133.52 Å³/cell
Magnetic moment ... 1.13 μB per formula unit
Final energy ... -0.2907 Ry/atom

BaAg2Mo | GGA-PBEsol | relaxed

Structure (CIF):
```
data_BaAg2Mo
_cell_length_a 4.481
_cell_length_b 4.481
_cell_length_c 8.867
_cell_angle_alpha 90.00
_cell_angle_beta 90.00
_cell_angle_gamma 90.00
_space_group_name_H-M_alt 'I -4 m 2'
_space_group_IT_number 119
_space_group_name_Hall 'I -4 -2'
loop_
_atom_site_label
_atom_site_type_symbol
_atom_site_fract_x
_atom_site_fract_y
_atom_site_fract_z
Ba1 Ba 0.000 0.000 0.000
Ag1 Ag 0.000 0.000 0.500
Ag2 Ag 0.000 0.500 0.750
Mo1 Mo 0.000 0.500 0.250
```

Properties
V ... 178.02 Å³/cell
Magnetic moment ... 2.99 μB per formula unit
Final energy ... -0.3108 Ry/atom

Rb2BaAgMo | GGA-PBEsol | relaxed

Structure (CIF):
```
data_Rb2BaAgMo
_cell_length_a 7.021
_cell_length_b 7.021
_cell_length_c 5.166
_cell_angle_alpha 90.00
_cell_angle_beta 90.00
_cell_angle_gamma 90.00
_space_group_name_H-M_alt 'P 4/m m m'
_space_group_IT_number 123
_space_group_name_Hall '-P 4 2'
loop_
_atom_site_label
_atom_site_type_symbol
_atom_site_fract_x
_atom_site_fract_y
_atom_site_fract_z
Rb1 Rb 0.000 0.500 0.000
Ba1 Ba 0.000 0.000 0.000
Ag1 Ag 0.500 0.500 0.500
Mo1 Mo 0.000 0.000 0.500
```

Properties
V ... 254.62 Å³/cell
Magnetic moment ... 2.18 μB per formula unit
Final energy ... -0.1663 Ry/atom

BaSiAgMo2 | GGA-PBEsol | relaxed

Structure (CIF):
```
data_BaSiAgMo2
_cell_length_a 5.160
_cell_length_b 5.160
_cell_length_c 4.635
_cell_angle_alpha 90.00
_cell_angle_beta 90.00
_cell_angle_gamma 90.00
_space_group_name_H-M_alt 'P 4/m m m'
_space_group_IT_number 123
_space_group_name_Hall '-P 4 2'
loop_
_atom_site_label
_atom_site_type_symbol
_atom_site_fract_x
_atom_site_fract_y
_atom_site_fract_z
Ba1 Ba 0.000 0.000 0.000
Si1 Si 0.500 0.500 0.000
Ag1 Ag 0.500 0.500 0.500
Mo1 Mo 0.000 0.500 0.500
```

Properties
V ... 123.43 Å³/cell
Magnetic moment ... 5.86 μB per formula unit
Final energy ... -0.3914 Ry/atom
Uncorrected formation energy ... 1.624 eV per atom

Q: What is the magnetic moment in the second record?
A: 2.99 μB per formula unit